5
Lattice="4.306 0.000 0.000 0.000 4.306 0.000 0.000 0.000 4.019" Properties=species:S:1:pos:R:3 comment="HfAuN2O | the Alexandria database | GGA-PBE | relaxed" e_tot_ev_per_atom=-6.847 formation_energy_uncorrected_mev_per_atom=121 crystal_system=tetragonal space_group="No. 123" pbc="T T T"
Hf 0.000 0.000 0.000
Au 2.153 2.153 2.009
O 0.000 0.000 2.009
N 0.000 2.153 0.000
N 2.153 0.000 0.000